# CaNb2SnAu

A geometry-optimized CaNb2SnAu structure (PBE, the Alexandria database).

Computed properties:
D(E_F) (states/eV/atom): 0.795
Total DFT energy (no corrections) (eV per atom): -4.04
DFT formation energy (eV per atom): 1.845

abc: 4.7716 4.7716 5.3638
angles: 90.00 90.00 90.00
With the nearest neighbours (Å) after each atom.
Space group P4/mmm (No. 123)
Inequivalent atoms, fractional coordinates:
1 Ca 0.0000 0.0000 0.0000 (multiplicity 1)  4 Nb 2.39
2 Nb 0.0000 0.5000 0.0000 (multiplicity 2)  2 Ca 2.39
3 Sn 0.0000 0.0000 0.5000 (multiplicity 1)  2 Ca 2.68
4 Au 0.5000 0.5000 0.5000 (multiplicity 1)  4 Sn 3.37, 8 Nb 3.59